No. 1
This record from Alexandria via LeMat-Bulk describes crystalline LaRe2Pb at its relaxed geometry. The functional is PBE.

Summary:
Raw total energy in eV for the cell shown: -30.623
Total magnetic moment in μB/cell: 0.000
ΔH_f (0 K) in eV/atom: 0.727
Space group: Pmmm (47)

POSCAR file:
```
LaRe2Pb
1.0
3.300 0.000 0.000
0.000 4.943 0.000
0.000 0.000 5.843
La Re Pb
1 2 1
direct
0.000 0.000 0.000 La
0.500 0.500 0.196 Re
0.500 0.500 0.804 Re
0.500 0.000 0.500 Pb
```



No. 2
This record from Alexandria via LeMat-Bulk describes crystalline LaRe2Pb at its relaxed geometry. The functional is PBE.

Summary:
Raw total energy in eV for the cell shown: -32.977
Total magnetic moment in μB/cell: 0.000
ΔH_f (0 K) in eV/atom: 0.139
Space group: R3m (160)

POSCAR file:
```
LaRe2Pb
1.0
2.161 1.248 6.104
-2.161 1.248 6.104
0.000 -2.495 6.104
La Re Pb
1 2 1
direct
0.000 0.000 0.000 La
0.223 0.223 0.223 Re
0.536 0.536 0.536 Re
0.790 0.790 0.790 Pb
```



No. 3
This record from Alexandria via LeMat-Bulk describes crystalline LaRe2Pb at its relaxed geometry. The functional is PBE.

Summary:
Raw total energy in eV for the cell shown: -29.861
Total magnetic moment in μB/cell: 0.102
ΔH_f (0 K) in eV/atom: 0.918
Space group: P4/mmm (123)

POSCAR file:
```
LaRe2Pb
1.0
4.433 0.000 0.000
0.000 4.433 0.000
0.000 0.000 4.252
La Re Pb
1 2 1
direct
0.000 0.000 0.000 La
0.000 0.500 0.500 Re
0.500 0.000 0.500 Re
0.500 0.500 0.000 Pb
```



No. 4
This record from Alexandria via LeMat-Bulk describes crystalline LaRe2Pb at its relaxed geometry. The functional is PBE.

Summary:
Raw total energy in eV for the cell shown: -30.131
Total magnetic moment in μB/cell: 0.000
ΔH_f (0 K) in eV/atom: 0.850
Space group: Pmmm (47)

POSCAR file:
```
LaRe2Pb
1.0
3.174 0.000 0.000
0.000 4.420 0.000
0.000 0.000 6.441
La Re Pb
1 2 1
direct
0.000 0.000 0.000 La
0.500 0.500 0.315 Re
0.500 0.500 0.685 Re
0.000 0.000 0.500 Pb
```



No. 5
This record from Alexandria via LeMat-Bulk describes crystalline LaRe2Pb at its relaxed geometry. The functional is PBE.

Summary:
Raw total energy in eV for the cell shown: -55.873
Total magnetic moment in μB/cell: 0.945
ΔH_f (0 K) in eV/atom: 1.399
Space group: I-42d (122)

POSCAR file:
```
LaRe2Pb
1.0
-3.986 3.986 2.934
3.986 -3.986 2.934
3.986 3.986 -2.934
La Re Pb
2 4 2
direct
0.000 0.000 0.000 La
0.750 0.250 0.500 La
0.155 0.625 0.030 Re
0.375 0.405 0.530 Re
0.595 0.125 0.970 Re
0.875 0.845 0.470 Re
0.250 0.750 0.500 Pb
0.500 0.500 0.000 Pb
```



No. 6
This record from Alexandria via LeMat-Bulk describes crystalline LaRePb2S at its relaxed geometry. The functional is PBE.

Summary:
E_form (uncorrected) in eV per atom: 0.17
Raw total energy in eV for the cell shown: -28.069
Total magnetic moment in μB/cell: 0.000
Space group: P4/mmm (123)

POSCAR file:
```
LaRePb2S
1.0
5.626 0.000 0.000
0.000 5.626 0.000
0.000 0.000 4.398
La Re Pb S
1 1 2 1
direct
0.000 0.000 0.000 La
0.500 0.500 0.500 Re
0.000 0.500 0.500 Pb
0.500 0.000 0.500 Pb
0.500 0.500 0.000 S
```



No. 7
This record from Alexandria via LeMat-Bulk describes crystalline LaReSi2Pb at its relaxed geometry. The functional is PBE.

Summary:
E_form (uncorrected) in eV per atom: 1.90
Raw total energy in eV for the cell shown: -22.426
Total magnetic moment in μB/cell: 3.293
Space group: P4/mmm (123)

POSCAR file:
```
LaReSi2Pb
1.0
5.122 0.000 0.000
0.000 5.122 0.000
0.000 0.000 6.096
La Re Si Pb
1 1 2 1
direct
0.000 0.000 0.000 La
0.500 0.500 0.000 Re
0.000 0.500 0.500 Si
0.500 0.000 0.500 Si
0.000 0.000 0.500 Pb
```



No. 8
This record from Alexandria via LeMat-Bulk describes crystalline LaRh2Pb2 at its relaxed geometry. The functional is PBE.

Summary:
Raw total energy in eV for the cell shown: -28.736
Total magnetic moment in μB/cell: 0.000
ΔH_f (0 K) in eV/atom: -0.338
Space group: C2/m (12)

POSCAR file:
```
LaRh2Pb2
1.0
4.979 -2.406 0.000
4.979 2.406 0.000
-3.541 0.000 4.804
La Rh Pb
1 2 2
direct
0.000 0.000 0.000 La
0.497 0.497 0.275 Rh
0.503 0.503 0.725 Rh
0.204 0.204 0.703 Pb
0.796 0.796 0.297 Pb
```